ReICl3: relaxed, PBE.

Cell: 4.896 4.896 4.896 Å, 90.00 90.00 90.00°
Element x y z (fractional)
1 Re 0.000 0.000 0.000
2 I 0.500 0.500 0.500
3 Cl 0.000 0.000 0.500
4 Cl 0.000 0.500 0.000
5 Cl 0.500 0.000 0.000

ΔE to the lowest computed polymorph: 710 meV per atom
magnetic moment: 1.79 μB per formula unit
D(E_F): 1.165 states/eV per atom
density: 5.934 Mg/m³
formation energy from raw total energies: 277 meV per atom